# 1
Here is a relaxed Nd3S2O2 crystal from Alexandria. Energies are from PBE-GGA.

theoretical density	5.7	g/cm3
density of states at the Fermi level	2.9	states/eV/cell
E_tot	-50.9	eV for the cell shown
energy relative to the elements, uncorrected	-2.637	eV per atom

a b c (Å): 6.8129 6.8129 6.7247
angles (deg): 116.57 116.57 33.90
Fractional positions:
Nd1 0.0000 0.0000 0.0000
Nd2 0.2157 0.2157 0.6954
Nd3 0.7843 0.7843 0.3046
S1 0.4010 0.4010 0.1681
S2 0.5990 0.5990 0.8319
O1 0.1849 0.1849 0.3259
O2 0.8151 0.8151 0.6741

---

# 2
Here is a relaxed In2Ag15Bi2 crystal from Alexandria. Energies are from PBE-GGA.

theoretical density	9.5	g/cm3
density of states at the Fermi level	6.1	states/eV/cell
E_tot	-54.7	eV for the cell shown
E_form	0.067	eV per atom

a b c (Å): 7.3853 7.3853 7.3853
angles (deg): 82.85 82.85 82.85
Fractional positions:
In1 0.1068 0.1068 0.1068
In2 0.8932 0.8932 0.8932
Ag1 0.0000 0.0000 0.5000
Ag2 0.0000 0.3231 0.6769
Ag3 0.0000 0.5000 0.0000
Ag4 0.0000 0.6769 0.3231
Ag5 0.1648 0.6607 0.6607
Ag6 0.3231 0.0000 0.6769
Ag7 0.3231 0.6769 0.0000
Ag8 0.3393 0.3393 0.8352
Ag9 0.3393 0.8352 0.3393
Ag10 0.5000 0.0000 0.0000
Ag11 0.6607 0.1648 0.6607
Ag12 0.6607 0.6607 0.1648
Ag13 0.6769 0.0000 0.3231
Ag14 0.6769 0.3231 0.0000
Ag15 0.8352 0.3393 0.3393
Bi1 0.3729 0.3729 0.3729
Bi2 0.6271 0.6271 0.6271

---

# 3
Here is a relaxed LaSn2Hg2 crystal from Alexandria. Energies are from PBE-GGA.

offset from the most stable computed form	169.1	meV/atom
theoretical density	9.4	g/cm3
density of states at the Fermi level	4.8	states/eV/cell
E_tot	-29.2	eV for the cell shown
E_form	-0.216	eV per atom

a b c (Å): 8.5403 8.5403 3.7514
angles (deg): 90.00 90.00 90.00
Fractional positions:
La1 0.0000 0.0000 0.0000
La2 0.5000 0.5000 0.0000
Sn1 0.1331 0.3669 0.0000
Sn2 0.3669 0.8669 0.0000
Sn3 0.6331 0.1331 0.0000
Sn4 0.8669 0.6331 0.0000
Hg1 0.1643 0.6643 0.5000
Hg2 0.3357 0.1643 0.5000
Hg3 0.6643 0.8357 0.5000
Hg4 0.8357 0.3357 0.5000

---

# 4
Here is a relaxed Zr2TiFe crystal from Alexandria. Energies are from PBE-GGA.

offset from the most stable computed form	371.8	meV/atom
theoretical density	6.2	g/cm3
density of states at the Fermi level	8.3	states/eV/cell
E_tot	-64.6	eV for the cell shown
E_form	0.291	eV per atom

a b c (Å): 5.9078 5.9078 5.9078
angles (deg): 103.42 103.42 122.40
Fractional positions:
Zr1 0.0767 0.1250 0.4517
Zr2 0.3750 0.9233 0.0483
Zr3 0.6733 0.6250 0.5483
Zr4 0.8750 0.3267 0.9517
Ti1 0.2500 0.7500 0.5000
Ti2 0.5000 0.5000 0.0000
Fe1 0.0000 0.0000 0.0000
Fe2 0.7500 0.2500 0.5000

---

# 5
Here is a relaxed MnNbAl2Pd crystal from Alexandria. Energies are from PBE-GGA.

theoretical density	5.7	g/cm3
density of states at the Fermi level	4.8	states/eV/cell
E_tot	-30.4	eV for the cell shown
E_form	0.306	eV per atom

a b c (Å): 4.5055 4.5055 4.4028
angles (deg): 90.00 90.00 90.00
Fractional positions:
Mn1 0.0000 0.0000 0.0000
Nb1 0.0000 0.0000 0.5000
Al1 0.0000 0.5000 0.0000
Al2 0.5000 0.0000 0.0000
Pd1 0.5000 0.5000 0.5000

---

# 6
Here is a relaxed YPt3W crystal from Alexandria. Energies are from PBE-GGA.

offset from the most stable computed form	1451.7	meV/atom
theoretical density	11.6	g/cm3
density of states at the Fermi level	5.1	states/eV/cell
E_tot	-29.5	eV for the cell shown
E_form	1.606	eV per atom

a b c (Å): 4.9737 4.9737 4.9737
angles (deg): 90.00 90.00 90.00
Fractional positions:
Y1 0.0000 0.0000 0.0000
Pt1 0.0000 0.0000 0.5000
Pt2 0.0000 0.5000 0.0000
Pt3 0.5000 0.0000 0.0000
W1 0.5000 0.5000 0.5000

---

# 7
Here is a relaxed Ag3BiRu crystal from Alexandria. Energies are from PBE-GGA.

offset from the most stable computed form	0.0	meV/atom
theoretical density	8.2	g/cm3
density of states at the Fermi level	4.6	states/eV/cell
E_tot	-16.1	eV for the cell shown
E_form	1.122	eV per atom

a b c (Å): 5.0529 5.0529 5.0529
angles (deg): 90.00 90.00 90.00
Fractional positions:
Ag1 0.0000 0.0000 0.5000
Ag2 0.0000 0.5000 0.0000
Ag3 0.5000 0.0000 0.0000
Bi1 0.5000 0.5000 0.5000
Ru1 0.0000 0.0000 0.0000

---

# 8
Here is a relaxed K2AlMo crystal from Alexandria. Energies are from PBE-GGA.

theoretical density	3.1	g/cm3
density of states at the Fermi level	3.6	states/eV/cell
E_tot	-13.6	eV for the cell shown
E_form	0.787	eV per atom

a b c (Å): 2.9798 2.9798 11.9633
angles (deg): 90.00 90.00 90.14
Fractional positions:
K1 0.0000 0.0000 0.0000
K2 0.5000 0.5000 0.3626
Al1 0.0000 0.0000 0.5993
Mo1 0.5000 0.5000 0.7550